PBE AcPmGa, relaxed; Fermi-level density of states = 1.210 states/eV/atom; energy = -4.166 eV per atom; ΔE_f = -0.204 eV per atom; SG = F-43m (216)
1.0
0.0000 3.7165 3.7165
3.7165 0.0000 3.7165
3.7165 3.7165 0.0000
Ac Pm Ga
1 1 1
Cartesian
0.0000 0.0000 0.0000
3.7165 3.7165 3.7165
5.5748 5.5748 5.5748